Density functional theory data (PBE) for a relaxed Th2GeRu crystal.

Output
* DFT total energy: -28.6 eV per cell
* magnetization: 0.00 μB/f.u.
* energy of formation from the pure elements: 2.39 kJ per mole of atoms

Geometry as POSCAR:
```
Th2GeRu
1.0
3.999 0.000 0.000
2.000 3.464 0.000
2.000 1.155 9.296
Th Ru Ge
2 1 1
Cartesian
5.999 3.464 3.063 Th
2.000 1.155 6.233 Th
3.999 2.309 4.648 Ru
0.000 0.000 0.000 Ge
```


Density functional theory data (PBE) for a relaxed Ce2TmIn crystal.

Output
* DFT total energy: -19.9 eV per cell
* magnetization: 1.63 μB/f.u.
* energy of formation from the pure elements: -20.41 kJ per mole of atoms

Geometry as POSCAR:
```
Ce2TmIn
1.0
5.157 0.000 0.000
0.000 4.596 0.000
0.000 0.000 4.596
Ce Tm In
2 1 1
Cartesian
0.000 0.000 2.298 Ce
0.000 2.298 0.000 Ce
2.579 2.298 2.298 Tm
2.579 0.000 0.000 In
```


Density functional theory data (PBE) for a relaxed Y11Tm9Sc4 crystal.

Output
* DFT total energy: -135.6 eV per cell
* magnetization: 0.85 μB/f.u.
* energy of formation from the pure elements: 4.22 kJ per mole of atoms

Geometry as POSCAR:
```
Y11Tm9Sc4
1.0
-2.303 -1.210 2.464
8.054 -12.432 1.420
4.273 10.802 9.300
Y Tm Sc
11 9 4
Cartesian
2.113 3.817 3.850 Y
6.654 -3.832 4.337 Y
8.852 2.926 9.710 Y
3.674 -0.486 3.195 Y
10.214 -5.447 6.871 Y
3.475 -4.556 1.010 Y
7.452 -8.732 2.675 Y
8.653 -1.144 7.525 Y
0.000 0.000 0.000 Y
5.673 2.202 6.383 Y
4.875 7.102 8.045 Y
4.625 -6.627 3.673 Tm
9.107 -0.328 10.955 Tm
5.399 3.787 9.511 Tm
0.918 -2.512 2.229 Tm
0.375 0.826 3.361 Tm
7.148 -6.960 5.867 Tm
9.650 -3.667 9.823 Tm
2.876 4.120 7.317 Tm
5.012 -1.420 6.592 Tm
7.312 -4.034 7.457 Sc
3.481 -3.527 4.126 Sc
6.543 0.687 9.058 Sc
2.713 1.194 5.727 Sc
```


Density functional theory data (PBE) for a relaxed YCd2Au9 crystal.

Output
* DFT total energy: -40.2 eV per cell
* magnetization: 0.00 μB/f.u.
* energy of formation from the pure elements: -19.75 kJ per mole of atoms

Geometry as POSCAR:
```
YCd2Au9
1.0
5.553 0.000 0.000
2.777 4.809 0.000
2.777 1.603 9.265
Au Y Cd
9 1 2
Cartesian
5.553 4.825 2.366 Au
5.553 3.206 4.632 Au
5.553 1.587 6.898 Au
4.151 2.397 2.366 Au
8.330 4.809 9.253 Au
6.955 2.397 2.366 Au
2.777 1.603 0.012 Au
4.151 4.016 6.898 Au
6.955 4.016 6.898 Au
0.000 0.000 0.000 Y
2.777 1.603 5.303 Cd
8.330 4.809 3.962 Cd
```


Density functional theory data (PBE) for a relaxed YTePt2 crystal.

Output
* DFT total energy: -24.7 eV per cell
* magnetization: 0.00 μB/f.u.
* formation energy (no corrections): -0.757 eV/atom

Geometry as POSCAR:
```
YTePt2
1.0
-1.263 -3.159 -1.647
1.953 -2.062 2.457
-2.669 -2.111 6.095
Pt Te Y
2 1 1
Cartesian
-2.637 -2.110 6.068 Pt
-0.390 -2.088 4.303 Pt
-0.811 -2.623 1.314 Te
-1.169 -4.709 5.590 Y
```


Density functional theory data (PBE) for a relaxed PuMg2Tl crystal.

Output
* DFT total energy: -19.8 eV per cell
* magnetization: 5.69 μB/f.u.
* energy of formation from the pure elements: 2.68 kJ per mole of atoms

Geometry as POSCAR:
```
PuMg2Tl
1.0
-1.329 0.828 4.984
-0.323 -4.021 3.320
3.564 -0.558 3.781
Mg Pu Tl
2 1 1
Cartesian
0.477 -0.938 3.021 Mg
-1.651 -3.192 8.304 Mg
0.956 -1.875 6.043 Pu
1.435 -2.812 9.064 Tl
```


Density functional theory data (PBE) for a relaxed K2TaSi crystal.

Output
* DFT total energy: -13.7 eV per cell
* magnetization: 1.83 μB/f.u.
* formation energy (no corrections): 1.434 eV/atom

Geometry as POSCAR:
```
K2TaSi
1.0
6.694 0.000 0.000
0.000 6.694 0.000
0.000 0.000 2.746
Ta K Si
1 2 1
Cartesian
0.000 3.347 1.373 Ta
3.347 3.347 0.000 K
0.000 0.000 0.000 K
3.347 0.000 1.373 Si
```


Density functional theory data (PBE) for a relaxed RbNiHgCl6 crystal.

Output
* DFT total energy: -25.6 eV per cell
* magnetization: 0.97 μB/f.u.
* formation energy (no corrections): -0.827 eV/atom

Geometry as POSCAR:
```
RbNiHgCl6
1.0
6.990 -0.001 0.217
3.497 5.506 0.109
0.242 -0.001 7.190
Hg Cl Rb Ni
1 6 1 1
Cartesian
7.111 3.492 3.811 Hg
4.478 0.246 2.403 Cl
2.754 0.245 5.003 Cl
5.610 1.967 5.258 Cl
1.622 1.968 2.149 Cl
2.597 3.379 4.984 Cl
4.635 3.380 2.424 Cl
3.738 5.490 7.298 Rb
3.616 1.849 3.703 Ni
```


Density functional theory data (PBE) for a relaxed HfTcRu crystal.

Output
* DFT total energy: -122.7 eV per cell
* magnetization: 0.00 μB/f.u.
* energy of formation from the pure elements: -34.95 kJ per mole of atoms

Geometry as POSCAR:
```
HfTcRu
1.0
-0.616 -3.091 -3.988
5.212 0.392 -1.108
1.357 -5.840 4.317
Hf Ru Tc
4 4 4
Cartesian
2.187 -6.578 1.521 Hf
4.423 -1.916 0.802 Hf
2.146 -3.532 2.406 Hf
3.766 -1.962 -2.301 Hf
2.606 0.196 -0.554 Ru
2.977 -4.270 -0.390 Ru
0.370 -4.466 0.164 Ru
0.000 0.000 0.000 Ru
4.465 -6.405 -0.585 Tc
1.180 -3.681 -2.189 Tc
4.773 -4.859 1.409 Tc
1.488 -2.135 -0.195 Tc
```


Density functional theory data (PBE) for a relaxed Na3ScB2O6 crystal.

Output
* DFT total energy: -82.8 eV per cell
* magnetization: 0.00 μB/f.u.
* formation energy (no corrections): -2.451 eV/atom

Geometry as POSCAR:
```
Na3ScB2O6
1.0
-1.434 -4.056 -3.019
5.079 1.269 0.457
0.505 -3.751 4.800
B O Na Sc
2 6 3 1
Cartesian
3.052 -1.569 0.659 B
1.099 -4.969 1.579 B
1.725 -1.340 0.981 O
4.042 -0.761 1.189 O
3.388 -2.611 -0.188 O
0.763 -3.927 2.426 O
0.109 -5.777 1.049 O
2.426 -5.198 1.257 O
0.867 -3.247 -0.624 Na
0.000 0.000 0.000 Na
3.283 -3.291 2.861 Na
0.253 -1.876 2.400 Sc
```


Density functional theory data (PBE) for a relaxed Y2NbOs3 crystal.

Output
* DFT total energy: -58.4 eV per cell
* magnetization: 0.00 μB/f.u.
* energy of formation from the pure elements: -27.39 kJ per mole of atoms

Geometry as POSCAR:
```
Y2NbOs3
1.0
4.919 -0.138 -2.580
-3.124 4.588 -0.246
-0.334 0.032 5.325
Y Os Nb
2 3 1
Cartesian
2.478 1.626 -1.353 Y
-1.017 2.856 3.852 Y
2.292 -0.053 1.373 Os
-0.167 0.016 2.662 Os
0.730 2.241 1.250 Os
0.000 0.000 0.000 Nb
```


Density functional theory data (PBE) for a relaxed Ta2IrW crystal.

Output
* DFT total energy: -46.3 eV per cell
* magnetization: 0.00 μB/f.u.
* energy of formation from the pure elements: -17.70 kJ per mole of atoms

Geometry as POSCAR:
```
Ta2IrW
1.0
4.592 0.000 0.000
0.000 2.805 0.003
0.000 0.993 5.172
Ta Ir W
2 1 1
Cartesian
0.000 0.995 5.144 Ta
2.296 0.972 1.339 Ta
2.296 2.850 3.929 Ir
0.000 1.872 2.524 W
```


Q: Which value of DFT total energy does entry 3 give?
A: -135.6 eV per cell